(1)
Density functional theory data (GGA-PBE) for a relaxed K2RhN crystal.

Cell: 3.766 8.409 8.409 Å, 87.13 77.06 77.06°
Atoms (fractional coordinates):
K 0.875 0.250 0.250
K 0.875 0.750 0.250
K 0.875 0.250 0.750
K 0.375 0.750 0.750
Rh 0.250 0.500 0.500
Rh 0.500 0.000 0.000
N 0.750 0.500 0.500
N 0.000 0.000 0.000

Calculated values
The space group is No. 141. Its uncorrected formation energy is -0.010 eV per atom. The value obtained for the density is 2.562 g/cm3. The crystal system is tetragonal. For the total DFT energy (no corrections), the calculation gives -4.478 eV/atom. The value obtained for the density of states at the Fermi level is 4.81 states/eV/cell.

---

(2)
Density functional theory data (GGA-PBE) for a relaxed Sm2TmAl2Pd5 crystal.

Cell: 3.718 10.273 10.273 Å, 90.00 90.00 90.00°
Atoms (fractional coordinates):
Pd 0.500 0.435 0.284
Pd 0.500 0.565 0.716
Pd 0.500 0.935 0.216
Pd 0.500 0.000 0.500
Pd 0.500 0.716 0.435
Pd 0.500 0.216 0.065
Pd 0.500 0.500 0.000
Pd 0.500 0.065 0.784
Pd 0.500 0.284 0.565
Pd 0.500 0.784 0.935
Sm 0.000 0.823 0.677
Sm 0.000 0.677 0.177
Sm 0.000 0.177 0.323
Sm 0.000 0.323 0.823
Al 0.000 0.119 0.619
Al 0.000 0.381 0.119
Al 0.000 0.881 0.381
Al 0.000 0.619 0.881
Tm 0.000 0.500 0.500
Tm 0.000 0.000 0.000

Calculated values
The space group is No. 127. The value obtained for the density is 8.936 g/cm3. The value obtained for the energy relative to the elements is -0.846 eV per atom. The crystal system is tetragonal. For the total DFT energy (no corrections), the calculation gives -5.582 eV/atom. The value obtained for the density of states at the Fermi level is 13.98 states/eV/cell.

---

(3)
Density functional theory data (GGA-PBE) for a relaxed NiAgW4 crystal.

Cell: 5.247 5.247 5.247 Å, 60.00 60.00 60.00°
Atoms (fractional coordinates):
W 0.625 0.126 0.625
W 0.625 0.625 0.126
W 0.126 0.625 0.625
W 0.625 0.625 0.625
Ag 0.250 0.250 0.250
Ni 0.000 0.000 0.000

Calculated values
The space group is No. 216. The value obtained for the density is 14.659 g/cm3. The value obtained for the energy relative to the elements is 0.779 eV per atom. The crystal system is cubic. For the total DFT energy (no corrections), the calculation gives -9.296 eV/atom. The value obtained for the density of states at the Fermi level is 4.05 states/eV/cell.

---

(4)
Density functional theory data (GGA-PBE) for a relaxed KCa2Sb crystal.

Cell: 5.873 5.873 5.873 Å, 60.00 60.00 60.00°
Atoms (fractional coordinates):
Ca 0.250 0.250 0.250
Ca 0.000 0.000 0.000
K 0.500 0.500 0.500
Sb 0.750 0.750 0.750

Calculated values
The space group is No. 216. Its uncorrected formation energy is -0.186 eV per atom. The value obtained for the density is 2.794 g/cm3. The crystal system is cubic. For the total DFT energy (no corrections), the calculation gives -2.492 eV/atom. The value obtained for the density of states at the Fermi level is 2.81 states/eV/cell.

---

(5)
Density functional theory data (GGA-PBE) for a relaxed CeTmNi4 crystal.

Cell: 5.058 5.058 5.058 Å, 60.00 60.00 60.00°
Atoms (fractional coordinates):
Ni 0.625 0.625 0.625
Ni 0.625 0.625 0.124
Ni 0.124 0.625 0.625
Ni 0.625 0.124 0.625
Tm 0.000 0.000 0.000
Ce 0.250 0.250 0.250

Calculated values
The space group is No. 216. The value obtained for the density is 9.869 g/cm3. The value obtained for the energy relative to the elements is -0.427 eV per atom. The crystal system is cubic. For the total DFT energy (no corrections), the calculation gives -6.015 eV/atom. The value obtained for the density of states at the Fermi level is 5.25 states/eV/cell.

---

(6)
Density functional theory data (GGA-PBE) for a relaxed AuS3Cl crystal.

Cell: 4.674 4.674 4.674 Å, 90.00 90.00 90.00°
Atoms (fractional coordinates):
Au 0.500 0.500 0.500
S 0.000 0.000 0.500
S 0.500 0.000 0.000
S 0.000 0.500 0.000
Cl 0.000 0.000 0.000

Calculated values
The space group is No. 221. The polymorph energy (0 for the lowest one) is 1151 meV/atom. Its uncorrected formation energy is 1.320 eV per atom. The value obtained for the density is 5.344 g/cm3. The crystal system is cubic. For the total DFT energy (no corrections), the calculation gives -2.181 eV/atom. The value obtained for the density of states at the Fermi level is 4.62 states/eV/cell.

---

(7)
Density functional theory data (GGA-PBE) for a relaxed Tb3Sm3Al2 crystal.

Cell: 5.208 6.452 15.194 Å, 90.00 90.00 113.80°
Atoms (fractional coordinates):
Sm 0.649 0.298 0.025
Sm 0.542 0.085 0.750
Sm 0.351 0.702 0.525
Sm 0.458 0.915 0.250
Sm 0.351 0.702 0.975
Sm 0.649 0.298 0.475
Al 0.783 0.567 0.653
Al 0.783 0.567 0.847
Al 0.217 0.433 0.347
Al 0.217 0.433 0.153
Tb 0.259 0.519 0.750
Tb 0.036 0.071 0.607
Tb 0.964 0.929 0.107
Tb 0.741 0.481 0.250
Tb 0.964 0.929 0.393
Tb 0.036 0.071 0.893

Calculated values
The space group is No. 63. The value obtained for the density is 6.980 g/cm3. The value obtained for the energy relative to the elements is -0.103 eV per atom. The crystal system is orthorhombic. For the total DFT energy (no corrections), the calculation gives -4.544 eV/atom. The value obtained for the density of states at the Fermi level is 16.11 states/eV/cell.

---

(8)
Density functional theory data (GGA-PBE) for a relaxed Sb2Te2Rh crystal.

Cell: 3.947 3.947 10.527 Å, 79.20 79.20 90.00°
Atoms (fractional coordinates):
Rh 0.000 0.000 0.000
Sb 0.568 0.568 0.864
Sb 0.432 0.432 0.136
Te 0.250 0.750 0.500
Te 0.750 0.250 0.500

Calculated values
The space group is No. 139. The polymorph energy (0 for the lowest one) is 342 meV/atom. Its uncorrected formation energy is 0.415 eV per atom. The value obtained for the density is 6.319 g/cm3. The crystal system is tetragonal. For the total DFT energy (no corrections), the calculation gives -3.961 eV/atom. The value obtained for the density of states at the Fermi level is 3.46 states/eV/cell.